# 1
Compound: Np2Ir3Pt3
Source: Alexandria via LeMat-Bulk
Functional: PBE
Structure: relaxed

Values from the calculation:
Energy of formation from the pure elements: -451 meV per atom

a = 4.0960 Å, b = 4.1943 Å, c = 8.0034 Å
α = 90.00°, β = 90.00°, γ = 90.00°
Closest atoms and distances in Å follow each position.
Space group Pmmm (No. 47)
Inequivalent atoms, fractional coordinates:
Np 0.0000 0.0000 0.2454 [2 per cell]  6 Ir 2.84-2.89, 6 Pt 2.92-2.93
Ir 0.0000 0.5000 0.0000 [1 per cell]  4 Pt 2.86, 4 Np 2.87, 4 Ir 2.93
Ir 0.5000 0.0000 0.0000 [1 per cell]  4 Np 2.84, 4 Pt 2.89, 4 Ir 2.93
Ir 0.5000 0.0000 0.5000 [1 per cell]  4 Np 2.89, 8 Pt 2.91-2.93
Pt 0.0000 0.5000 0.5000 [1 per cell]  4 Pt 2.87, 4 Np 2.92, 4 Ir 2.93
Pt 0.5000 0.5000 0.2488 [2 per cell]  6 Ir 2.86-2.91, 2 Pt 2.87, 4 Np 2.93

***

# 2
Compound: RbCuHgTe2
Source: Alexandria via LeMat-Bulk
Functional: PBE
Structure: relaxed

Values from the calculation:
ΔE_f (raw): -36 kJ/mol of atoms
Excess energy over the best structure of this formula in the dataset: 0 meV per atom

a = 7.6907 Å, b = 6.3946 Å, c = 7.8995 Å
α = 90.00°, β = 106.85°, γ = 90.00°
Closest atoms and distances in Å follow each position.
Space group P2/c (No. 13)
Inequivalent atoms, fractional coordinates:
Rb 0.0000 0.2256 0.2500 [2 per cell]  6 Te 3.75-3.89, 2 Cu 4.05, 2 Hg 4.15
Cu 0.5000 0.0000 0.0000 [2 per cell]  2 Te 2.44
Hg 0.5000 0.4707 0.2500 [2 per cell]  4 Te 2.89-3.00
Te 0.2743 0.2795 0.9294 [4 per cell]  1 Cu 2.44

***

# 3
Compound: MnMo2P
Source: Alexandria via LeMat-Bulk
Functional: PBE
Structure: relaxed

Values from the calculation:
Energy of formation from the pure elements: -138 meV per atom

a = 3.9094 Å, b = 2.9780 Å, c = 9.2895 Å
α = 90.00°, β = 90.00°, γ = 90.00°
Closest atoms and distances in Å follow each position.
Space group Amm2 (No. 38)
Inequivalent atoms, fractional coordinates:
Mn 0.0000 0.0000 0.0000 [2 per cell]  2 P 2.34, 5 Mo 2.48-2.61
Mo 0.0000 0.0000 0.2666 [2 per cell]  3 Mn 2.48-2.63, 4 P 2.61
Mo 0.5000 0.0000 0.5945 [2 per cell]  3 P 2.48-2.63, 4 Mn 2.61
P 0.5000 0.0000 0.8615 [2 per cell]  2 Mn 2.34, 5 Mo 2.48-2.61

***

# 4
Compound: Li2PaPt2
Source: Alexandria via LeMat-Bulk
Functional: PBE
Structure: relaxed

Values from the calculation:
Energy of formation from the pure elements: -633 meV per atom
Excess energy over the best structure of this formula in the dataset: 62 meV per atom

a = 8.7301 Å, b = 4.1738 Å, c = 6.1027 Å
α = 90.00°, β = 131.57°, γ = 90.00°
Closest atoms and distances in Å follow each position.
Space group C2/m (No. 12)
Inequivalent atoms, fractional coordinates:
Li 0.0676 0.0000 0.2381 [4 per cell]  1 Li 2.30
Pa 0.0000 0.5000 0.5000 [2 per cell]  6 Pt 2.83-3.05, 6 Li 2.92-2.97
Pt 0.2186 0.5000 0.1499 [4 per cell]  6 Li 2.71-2.89, 2 Pa 2.83, 1 Pt 2.94